Run 1
NaIn3Hg: relaxed, PBE-GGA.

Cell: 5.6587 5.6587 5.6587 Å, 90.00 90.00 90.00°
Fractional positions:
Na 0.0000 0.0000 0.0000
In 0.0000 0.5000 0.5000
In 0.5000 0.0000 0.5000
In 0.5000 0.5000 0.0000
Hg 0.5000 0.5000 0.5000

Results
Size of the total moment ... 0.0 μB per formula unit
SG ... Pm-3m, No. 221
Crystal system ... cubic

=====

Run 2
NaIn3Hg: relaxed, PBE-GGA.

Cell: 8.7136 8.7136 7.2340 Å, 110.59 110.59 32.27°
Fractional positions:
Na 0.0224 0.0224 0.2623
Na 0.9776 0.9776 0.7377
In 0.1934 0.1934 0.0318
In 0.2284 0.2284 0.6056
In 0.3906 0.3906 0.3727
In 0.6094 0.6094 0.6273
In 0.7716 0.7716 0.3944
In 0.8066 0.8066 0.9682
Hg 0.4061 0.4061 0.9311
Hg 0.5939 0.5939 0.0689

Results
Size of the total moment ... 0.0 μB per formula unit
SG ... C2/m, No. 12
Crystal system ... monoclinic

=====

It is run 2 that is the most stable of them.

=====

Run 1
NaIn3Hg: relaxed, PBE-GGA.

Cell: 7.4418 7.4418 6.2521 Å, 90.00 90.00 120.09°
Fractional positions:
Na 0.1667 0.8333 0.7500
Na 0.8333 0.1667 0.2500
In 0.1082 0.3043 0.7500
In 0.3043 0.1082 0.2500
In 0.3043 0.6957 0.2500
In 0.6957 0.3043 0.7500
In 0.6957 0.8918 0.7500
In 0.8918 0.6957 0.2500
Hg 0.5000 0.5000 0.0000
Hg 0.5000 0.5000 0.5000

Results
Size of the total moment ... 0.0 μB per formula unit
SG ... Cmcm, No. 63
Crystal system ... orthorhombic

=====

Run 2
NaIn3Hg: relaxed, PBE-GGA.

Cell: 5.6027 5.6027 5.6027 Å, 90.00 90.00 90.00°
Fractional positions:
Na 0.0000 0.0000 0.0000
In 0.0000 0.0000 0.5000
In 0.0000 0.5000 0.0000
In 0.5000 0.0000 0.0000
Hg 0.5000 0.5000 0.5000

Results
Size of the total moment ... 0.0 μB per formula unit
SG ... Pm-3m, No. 221
Crystal system ... cubic

=====

It is run 1 that is the most stable of them.

=====

Run 1
Na2InHg2: relaxed, PBE-GGA.

Cell: 8.5143 8.5143 3.6197 Å, 90.00 90.00 90.00°
Fractional positions:
Na 0.1690 0.3310 0.0000
Na 0.3310 0.8310 0.0000
Na 0.6690 0.1690 0.0000
Na 0.8310 0.6690 0.0000
In 0.0000 0.0000 0.5000
In 0.5000 0.5000 0.5000
Hg 0.1298 0.6298 0.5000
Hg 0.3702 0.1298 0.5000
Hg 0.6298 0.8702 0.5000
Hg 0.8702 0.3702 0.5000

Results
Size of the total moment ... 0.0 μB per formula unit
SG ... P4/mbm, No. 127
Crystal system ... tetragonal

=====

Run 2
Na2InHg2: relaxed, PBE-GGA.

Cell: 8.9400 8.9400 3.3616 Å, 90.00 90.00 90.00°
Fractional positions:
Na 0.1378 0.3622 0.0000
Na 0.3622 0.8622 0.0000
Na 0.6378 0.1378 0.0000
Na 0.8622 0.6378 0.0000
In 0.0000 0.0000 0.0000
In 0.5000 0.5000 0.0000
Hg 0.1587 0.6587 0.5000
Hg 0.3413 0.1587 0.5000
Hg 0.6587 0.8413 0.5000
Hg 0.8413 0.3413 0.5000

Results
Size of the total moment ... 0.0 μB per formula unit
SG ... P4/mbm, No. 127
Crystal system ... tetragonal

=====

It is run 1 that is the most stable of them.

=====

Run 1
Na2InHg2: relaxed, PBE-GGA.

Cell: 4.3490 4.3490 14.7073 Å, 90.00 90.00 90.00°
Fractional positions:
Na 0.0000 0.5000 0.2500
Na 0.0000 0.5000 0.7500
Na 0.5000 0.0000 0.2500
Na 0.5000 0.0000 0.7500
In 0.0000 0.0000 0.0000
In 0.5000 0.5000 0.5000
Hg 0.0000 0.0000 0.3994
Hg 0.0000 0.0000 0.6006
Hg 0.5000 0.5000 0.1006
Hg 0.5000 0.5000 0.8994

Results
Size of the total moment ... 0.0 μB per formula unit
SG ... I4/mmm, No. 139
Crystal system ... tetragonal

=====

Run 2
Na2InHg2: relaxed, PBE-GGA.

Cell: 9.8291 9.8291 5.2380 Å, 90.00 90.00 149.47°
Fractional positions:
Na 0.0559 0.9441 0.5000
Na 0.2532 0.7468 0.5022
Na 0.7468 0.2532 0.0022
Na 0.9441 0.0559 0.0000
In 0.4489 0.5511 0.5045
In 0.5511 0.4489 0.0045
Hg 0.1467 0.8533 0.0001
Hg 0.3477 0.6523 0.0034
Hg 0.6523 0.3477 0.5034
Hg 0.8533 0.1467 0.5001

Results
Size of the total moment ... 0.0 μB per formula unit
SG ... Cmc2_1, No. 36
Crystal system ... orthorhombic

=====

Run 3
Na2InHg2: relaxed, PBE-GGA.

Cell: 4.9909 5.2720 6.0641 Å, 69.94 67.10 62.13°
Fractional positions:
Na 0.2099 0.2171 0.3684
Na 0.7901 0.7829 0.6316
In 0.0000 0.0000 0.0000
Hg 0.4089 0.3885 0.7867
Hg 0.5911 0.6115 0.2133

Results
Size of the total moment ... 0.0 μB per formula unit
SG ... P-1, No. 2
Crystal system ... triclinic

=====

It is run 3 that is the most stable of them.

=====

Run 1
Na3InHg4: relaxed, PBE-GGA.

Cell: 6.3900 10.9474 6.1967 Å, 90.00 90.00 90.00°
Fractional positions:
Na 0.0000 0.0000 0.0000
Na 0.0000 0.2366 0.6717
Na 0.0000 0.7634 0.6717
Na 0.5000 0.2634 0.1717
Na 0.5000 0.5000 0.5000
Na 0.5000 0.7366 0.1717
In 0.0000 0.5000 0.4569
In 0.5000 0.0000 0.9569
Hg 0.0000 0.2747 0.1692
Hg 0.0000 0.7253 0.1692
Hg 0.2469 0.0000 0.4374
Hg 0.2531 0.5000 0.9374
Hg 0.5000 0.2253 0.6692
Hg 0.5000 0.7747 0.6692
Hg 0.7469 0.5000 0.9374
Hg 0.7531 0.0000 0.4374

Results
Size of the total moment ... 0.0 μB per formula unit
SG ... Imm2, No. 44
Crystal system ... orthorhombic

=====

Run 2
Na3InHg4: relaxed, PBE-GGA.

Cell: 15.5496 5.2862 5.2857 Å, 90.00 109.64 90.00°
Fractional positions:
Na 0.0000 0.0000 0.0000
Na 0.2469 0.5000 0.7468
Na 0.2531 0.0000 0.2532
Na 0.5000 0.5000 0.0000
Na 0.7469 0.0000 0.7468
Na 0.7531 0.5000 0.2532
In 0.0000 0.5000 0.5000
In 0.5000 0.0000 0.5000
Hg 0.1247 0.0000 0.6238
Hg 0.1248 0.5000 0.1242
Hg 0.3752 0.0000 0.8758
Hg 0.3753 0.5000 0.3762
Hg 0.6248 0.0000 0.1242
Hg 0.6247 0.5000 0.6238
Hg 0.8753 0.0000 0.3762
Hg 0.8752 0.5000 0.8758

Results
Size of the total moment ... 0.0 μB per formula unit
SG ... C2/m, No. 12
Crystal system ... monoclinic

=====

It is run 2 that is the most stable of them.

=====

Run 1
NaIn4Hg6: relaxed, PBE-GGA.

Cell: 6.2621 6.2621 8.7885 Å, 110.42 110.42 90.23°
Fractional positions:
Na 0.0000 0.0000 0.0000
In 0.1865 0.5520 0.7352
In 0.4397 0.4397 0.2745
In 0.5520 0.1865 0.7352
In 0.7968 0.7968 0.2571
Hg 0.0043 0.4994 0.0013
Hg 0.0163 0.0163 0.6458
Hg 0.3548 0.9704 0.3472
Hg 0.4994 0.0043 0.0013
Hg 0.6392 0.6392 0.6606
Hg 0.9704 0.3548 0.3472

Results
Size of the total moment ... 0.0 μB per formula unit
SG ... Cm, No. 8
Crystal system ... monoclinic

=====

Run 2
NaIn4Hg6: relaxed, PBE-GGA.

Cell: 7.7469 7.7469 7.7469 Å, 118.17 118.17 93.20°
Fractional positions:
Na 0.0000 0.0000 0.0000
In 0.2473 0.2473 0.6266
In 0.3794 0.7527 0.0000
In 0.6206 0.6206 0.3734
In 0.7527 0.3794 0.0000
Hg 0.0000 0.5000 0.5000
Hg 0.1274 0.4161 0.0000
Hg 0.4161 0.1274 0.0000
Hg 0.5000 0.0000 0.5000
Hg 0.5839 0.5839 0.7114
Hg 0.8726 0.8726 0.2886

Results
Size of the total moment ... 0.0 μB per formula unit
SG ... I-42m, No. 121
Crystal system ... tetragonal

=====

It is run 1 that is the most stable of them.

=====

Run 1
Na3In4Hg8: relaxed, PBE-GGA.

Cell: 7.3135 7.3135 7.3135 Å, 90.00 90.00 90.00°
Fractional positions:
Na 0.0000 0.0000 0.5000
Na 0.0000 0.5000 0.0000
Na 0.5000 0.0000 0.0000
In 0.0000 0.0000 0.0000
In 0.0000 0.5000 0.5000
In 0.5000 0.0000 0.5000
In 0.5000 0.5000 0.0000
Hg 0.2610 0.2610 0.2610
Hg 0.2610 0.2610 0.7390
Hg 0.2610 0.7390 0.2610
Hg 0.2610 0.7390 0.7390
Hg 0.7390 0.2610 0.2610
Hg 0.7390 0.2610 0.7390
Hg 0.7390 0.7390 0.2610
Hg 0.7390 0.7390 0.7390

Results
Size of the total moment ... 0.0 μB per formula unit
SG ... Pm-3m, No. 221
Crystal system ... cubic

=====

Run 2
Na3In4Hg8: relaxed, PBE-GGA.

Cell: 8.6327 8.6327 6.6591 Å, 111.77 111.77 87.87°
Fractional positions:
Na 0.0000 0.0000 0.0000
Na 0.0000 0.5000 0.5000
Na 0.5000 0.0000 0.5000
In 0.0000 0.0000 0.5000
In 0.0000 0.5000 0.0000
In 0.5000 0.0000 0.0000
In 0.5000 0.5000 0.0000
Hg 0.2448 0.2448 0.9334
Hg 0.2526 0.7474 0.0000
Hg 0.2650 0.7350 0.5000
Hg 0.3533 0.3533 0.4607
Hg 0.6467 0.6467 0.5393
Hg 0.7350 0.2650 0.5000
Hg 0.7474 0.2526 0.0000
Hg 0.7552 0.7552 0.0666

Results
Size of the total moment ... 0.0 μB per formula unit
SG ... C2/m, No. 12
Crystal system ... monoclinic

=====

It is run 1 that is the most stable of them.

=====

Run 1
NaIn5Hg2: relaxed, PBE-GGA.

Cell: 4.4915 9.1379 10.8776 Å, 90.00 90.00 90.00°
Fractional positions:
Na 0.0000 0.0000 0.0000
Na 0.5000 0.5000 0.5000
In 0.0000 0.1860 0.3530
In 0.0000 0.1860 0.6470
In 0.0000 0.5000 0.0000
In 0.0000 0.8140 0.3530
In 0.0000 0.8140 0.6470
In 0.5000 0.0000 0.5000
In 0.5000 0.3140 0.1470
In 0.5000 0.3140 0.8530
In 0.5000 0.6860 0.1470
In 0.5000 0.6860 0.8530
Hg 0.0000 0.5000 0.2953
Hg 0.0000 0.5000 0.7047
Hg 0.5000 0.0000 0.2047
Hg 0.5000 0.0000 0.7953

Results
Size of the total moment ... 0.0 μB per formula unit
SG ... Immm, No. 71
Crystal system ... orthorhombic

=====

Run 2
NaIn5Hg2: relaxed, PBE-GGA.

Cell: 6.8037 13.0203 4.6929 Å, 90.00 90.00 90.00°
Fractional positions:
Na 0.0000 0.0000 0.0000
Na 0.5000 0.5000 0.0000
In 0.0000 0.5000 0.0000
In 0.0155 0.2532 0.0000
In 0.2410 0.6289 0.5000
In 0.2590 0.1289 0.5000
In 0.4845 0.7532 0.0000
In 0.5000 0.0000 0.0000
In 0.5155 0.2468 0.0000
In 0.7410 0.8711 0.5000
In 0.7590 0.3711 0.5000
In 0.9845 0.7468 0.0000
Hg 0.2315 0.8820 0.5000
Hg 0.2685 0.3820 0.5000
Hg 0.7315 0.6180 0.5000
Hg 0.7685 0.1180 0.5000

Results
Size of the total moment ... 0.0 μB per formula unit
SG ... Pbam, No. 55
Crystal system ... orthorhombic

=====

It is run 2 that is the most stable of them.

=====

Run 1
Na8In2Hg: relaxed, PBE-GGA.

Cell: 9.6889 9.6889 6.2920 Å, 92.14 92.14 33.14°
Fractional positions:
Na 0.0482 0.0482 0.2487
Na 0.1509 0.1509 0.8154
Na 0.3242 0.3242 0.8861
Na 0.4119 0.4119 0.4318
Na 0.5881 0.5881 0.5682
Na 0.6758 0.6758 0.1139
Na 0.8491 0.8491 0.1846
Na 0.9518 0.9518 0.7513
In 0.2351 0.2351 0.3689
In 0.7649 0.7649 0.6311
Hg 0.5000 0.5000 0.0000

Results
Size of the total moment ... 0.0 μB per formula unit
SG ... C2/m, No. 12
Crystal system ... monoclinic

=====

Run 2
Na8In2Hg: relaxed, PBE-GGA.

Cell: 9.3499 9.3499 7.4974 Å, 101.07 101.07 29.91°
Fractional positions:
Na 0.0471 0.0471 0.2479
Na 0.1377 0.1377 0.6895
Na 0.3178 0.3178 0.5943
Na 0.4049 0.4049 0.0512
Na 0.5951 0.5951 0.9488
Na 0.6822 0.6822 0.4057
Na 0.8623 0.8623 0.3105
Na 0.9529 0.9529 0.7521
In 0.2287 0.2287 0.1233
In 0.7713 0.7713 0.8767
Hg 0.5000 0.5000 0.5000

Results
Size of the total moment ... 0.0 μB per formula unit
SG ... C2/m, No. 12
Crystal system ... monoclinic

=====

It is run 2 that is the most stable of them.

=====

Run 1
Na2InHg9: relaxed, PBE-GGA.

Cell: 10.6852 10.6852 3.2461 Å, 90.00 90.00 120.00°
Fractional positions:
Na 0.3333 0.6667 0.0000
Na 0.6667 0.3333 0.0000
In 0.0000 0.0000 0.0000
Hg 0.0000 0.5000 0.0000
Hg 0.1737 0.3474 0.5000
Hg 0.1737 0.8263 0.5000
Hg 0.3474 0.1737 0.5000
Hg 0.5000 0.0000 0.0000
Hg 0.5000 0.5000 0.0000
Hg 0.6526 0.8263 0.5000
Hg 0.8263 0.1737 0.5000
Hg 0.8263 0.6526 0.5000

Results
Size of the total moment ... 0.0 μB per formula unit
SG ... P6/mmm, No. 191
Crystal system ... hexagonal

=====

Run 2
Na2InHg9: relaxed, PBE-GGA.

Cell: 4.8483 4.8483 13.3316 Å, 90.00 90.00 90.00°
Fractional positions:
Na 0.0000 0.0000 0.1690
Na 0.0000 0.0000 0.8310
In 0.0000 0.0000 0.5000
Hg 0.0000 0.5000 0.0000
Hg 0.0000 0.5000 0.3341
Hg 0.0000 0.5000 0.6659
Hg 0.5000 0.0000 0.0000
Hg 0.5000 0.0000 0.3341
Hg 0.5000 0.0000 0.6659
Hg 0.5000 0.5000 0.1698
Hg 0.5000 0.5000 0.5000
Hg 0.5000 0.5000 0.8302

Results
Size of the total moment ... 0.0 μB per formula unit
SG ... P4/mmm, No. 123
Crystal system ... tetragonal

=====

It is run 2 that is the most stable of them.